1.
The following is a PBE-GGA calculation of an optimized crystal structure of La2NdYHo2, from Alexandria.

abc: 5.743 7.153 9.926
angles: 90.00 90.00 90.00
Positions (direct):
La 0.500 0.008 0.000
La 0.000 0.258 0.176
La 0.500 0.508 0.000
La 0.000 0.758 0.824
Nd 0.500 0.258 0.660
Nd 0.500 0.758 0.340
Y 0.000 0.008 0.500
Y 0.000 0.508 0.500
Ho 0.000 0.258 0.834
Ho 0.500 0.258 0.334
Ho 0.000 0.758 0.166
Ho 0.500 0.758 0.666

Properties
For the formation enthalpy at 0 K, the calculation gives 0.061 eV/atom.

---

2.
The following is a PBE-GGA calculation of an optimized crystal structure of LaNd6Y2Ho, from Alexandria.

abc: 9.714 9.014 9.014
angles: 117.18 93.75 93.75
Positions (direct):
La 0.250 0.406 0.594
La 0.750 0.594 0.406
Nd 0.057 0.109 0.762
Nd 0.443 0.238 0.891
Nd 0.943 0.891 0.238
Nd 0.557 0.762 0.109
Nd 0.316 0.984 0.435
Nd 0.184 0.565 0.016
Nd 0.684 0.016 0.565
Nd 0.816 0.435 0.984
Nd 0.118 0.705 0.485
Nd 0.382 0.515 0.295
Nd 0.882 0.295 0.515
Nd 0.618 0.485 0.705
Y 0.452 0.804 0.709
Y 0.048 0.291 0.196
Y 0.548 0.196 0.291
Y 0.952 0.709 0.804
Ho 0.250 0.966 0.034
Ho 0.750 0.034 0.966

Properties
For the formation enthalpy at 0 K, the calculation gives 0.115 eV/atom.